# Pu2In3Ga3

An optimized crystal structure of Pu2In3Ga3 (GGA-PBE, the Alexandria database).

Lattice parameters (Å, degrees): 4.3800 4.5060 9.1630 90.00 90.00 90.00
With the nearest neighbours (Å) after each atom.
Element x y z (fractional)
Pu: 0.0000 0.0000 0.2421  6 Ga 3.12-3.14, 6 In 3.16-3.27
Pu: 0.0000 0.0000 0.7579  6 Ga 3.12-3.14, 6 In 3.16-3.27
In: 0.0000 0.5000 0.0000  8 Ga 3.13-3.14, 4 Pu 3.16
In: 0.0000 0.5000 0.5000  4 In 3.14, 4 Ga 3.21, 4 Pu 3.27
In: 0.5000 0.0000 0.5000  4 In 3.14, 4 Pu 3.22, 4 Ga 3.25
Ga: 0.5000 0.0000 0.0000  4 Pu 3.12, 4 In 3.14, 4 Ga 3.17
Ga: 0.5000 0.5000 0.2438  6 In 3.13-3.25, 4 Pu 3.14, 2 Ga 3.17
Ga: 0.5000 0.5000 0.7562  6 In 3.13-3.25, 4 Pu 3.14, 2 Ga 3.17

Output
The space group is No. 47. As for the magnetic moment: 11.07 μB/f.u. The formation energy comes out at -0.26 eV per atom. Its volume is 180.8 Å³/cell.

# Pu6InGa

An optimized crystal structure of Pu6InGa (GGA-PBE, the Alexandria database).

Lattice parameters (Å, degrees): 4.6557 4.6557 9.2788 90.00 90.00 90.00
With the nearest neighbours (Å) after each atom.
Element x y z (fractional)
Pu: 0.0000 0.0000 0.0000  8 Pu 3.23, 4 Ga 3.29
Pu: 0.0000 0.0000 0.5000  4 In 3.29, 8 Pu 3.35
Pu: 0.0000 0.5000 0.2411  8 Pu 3.23-3.35, 2 Ga 3.23, 2 In 3.35
Pu: 0.0000 0.5000 0.7589  8 Pu 3.23-3.35, 2 Ga 3.23, 2 In 3.35
Pu: 0.5000 0.0000 0.2411  8 Pu 3.23-3.35, 2 Ga 3.23, 2 In 3.35
Pu: 0.5000 0.0000 0.7589  8 Pu 3.23-3.35, 2 Ga 3.23, 2 In 3.35
In: 0.5000 0.5000 0.5000  12 Pu 3.29-3.35
Ga: 0.5000 0.5000 0.0000  12 Pu 3.23-3.29

Output
The space group is No. 123. As for the magnetic moment: 34.31 μB/f.u. The formation energy comes out at -0.04 eV per atom. Its volume is 201.1 Å³/cell.

# Pu2InGa9

An optimized crystal structure of Pu2InGa9 (GGA-PBE, the Alexandria database).

Lattice parameters (Å, degrees): 8.9997 8.9997 8.9997 37.60 37.60 37.60
With the nearest neighbours (Å) after each atom.
Element x y z (fractional)
Pu: 0.1383 0.1383 0.1383  12 Ga 3.17-3.42, 1 In 3.47
Pu: 0.8617 0.8617 0.8617  12 Ga 3.17-3.42, 1 In 3.47
In: 0.0000 0.0000 0.0000  18 Ga 3.35-3.61, 2 Pu 3.47
Ga: 0.0660 0.5951 0.5951  5 Ga 2.68-2.77
Ga: 0.3387 0.3387 0.3387  6 Ga 2.68-2.77
Ga: 0.4049 0.4049 0.9340  5 Ga 2.68-2.77
Ga: 0.4049 0.9340 0.4049  5 Ga 2.68-2.77
Ga: 0.5000 0.5000 0.5000  6 Ga 2.70
Ga: 0.5951 0.0660 0.5951  5 Ga 2.68-2.77
Ga: 0.5951 0.5951 0.0660  5 Ga 2.68-2.77
Ga: 0.6613 0.6613 0.6613  6 Ga 2.68-2.77
Ga: 0.9340 0.4049 0.4049  5 Ga 2.68-2.77

Output
The space group is No. 166. As for the magnetic moment: 11.15 μB/f.u. The formation energy comes out at -0.15 eV per atom. Its volume is 243.4 Å³/cell.

# Pu2InGa2

An optimized crystal structure of Pu2InGa2 (GGA-PBE, the Alexandria database).

Lattice parameters (Å, degrees): 4.7371 15.2385 3.0605 90.00 90.00 90.00
With the nearest neighbours (Å) after each atom.
Element x y z (fractional)
Pu: 0.0000 0.1184 0.0000  2 Pu 3.06, 6 Ga 3.10-3.13, 4 In 3.35
Pu: 0.0000 0.8816 0.0000  2 Pu 3.06, 6 Ga 3.10-3.13, 4 In 3.35
Pu: 0.5000 0.3816 0.0000  2 Pu 3.06, 6 Ga 3.10-3.13, 4 In 3.35
Pu: 0.5000 0.6184 0.0000  2 Pu 3.06, 6 Ga 3.10-3.13, 4 In 3.35
In: 0.0000 0.5000 0.5000  2 In 3.06, 2 Ga 3.08, 8 Pu 3.35
In: 0.5000 0.0000 0.5000  2 In 3.06, 2 Ga 3.08, 8 Pu 3.35
Ga: 0.0000 0.2978 0.5000  4 Ga 2.78-3.06, 1 In 3.08, 4 Pu 3.10
Ga: 0.0000 0.7022 0.5000  4 Ga 2.78-3.06, 1 In 3.08, 4 Pu 3.10
Ga: 0.5000 0.2022 0.5000  4 Ga 2.78-3.06, 1 In 3.08, 4 Pu 3.10
Ga: 0.5000 0.7978 0.5000  4 Ga 2.78-3.06, 1 In 3.08, 4 Pu 3.10

Output
The space group is No. 65. As for the magnetic moment: 11.11 μB/f.u. The formation energy comes out at -0.31 eV per atom. The value obtained for the energy above the most stable polymorph in this dataset is 0.000 eV per atom. Its volume is 220.9 Å³/cell.

# Pu5InGa4

An optimized crystal structure of Pu5InGa4 (GGA-PBE, the Alexandria database).

Lattice parameters (Å, degrees): 3.9366 3.9366 14.7458 90.00 90.00 90.00
With the nearest neighbours (Å) after each atom.
Element x y z (fractional)
Pu: 0.0000 0.0000 0.0000  2 Pu 2.86, 8 Ga 3.13
Pu: 0.0000 0.0000 0.1938  2 Pu 2.86, 8 Ga 3.12-3.13
Pu: 0.0000 0.0000 0.3874  1 Pu 2.86, 4 Ga 3.14
Pu: 0.0000 0.0000 0.6126  1 Pu 2.86, 4 Ga 3.14
Pu: 0.0000 0.0000 0.8062  2 Pu 2.86, 8 Ga 3.12-3.13
In: 0.5000 0.5000 0.5000  2 Ga 3.11, 8 Pu 3.24
Ga: 0.5000 0.5000 0.0967  2 Ga 2.84-2.85, 8 Pu 3.13
Ga: 0.5000 0.5000 0.2893  1 Ga 2.84, 1 In 3.11, 8 Pu 3.12-3.14
Ga: 0.5000 0.5000 0.7107  1 Ga 2.84, 1 In 3.11, 8 Pu 3.12-3.14
Ga: 0.5000 0.5000 0.9033  2 Ga 2.84-2.85, 8 Pu 3.13

Output
The space group is No. 123. As for the magnetic moment: 27.58 μB/f.u. The formation energy comes out at -0.22 eV per atom. Its volume is 228.5 Å³/cell.

# PuIn2Ga

An optimized crystal structure of PuIn2Ga (GGA-PBE, the Alexandria database).

Lattice parameters (Å, degrees): 3.1740 3.1740 9.6325 90.00 90.00 90.00
With the nearest neighbours (Å) after each atom.
Element x y z (fractional)
Pu: 0.0000 0.0000 0.0000  4 Pu 3.17, 8 In 3.37
In: 0.5000 0.5000 0.2612  4 In 3.17, 4 Ga 3.21, 4 Pu 3.37
In: 0.5000 0.5000 0.7388  4 In 3.17, 4 Ga 3.21, 4 Pu 3.37
Ga: 0.0000 0.0000 0.5000  4 Ga 3.17, 8 In 3.21

Output
The space group is No. 123. As for the magnetic moment: 6.04 μB/f.u. The formation energy comes out at -0.04 eV per atom. The value obtained for the energy above the most stable polymorph in this dataset is 0.198 eV per atom. Its volume is 97.0 Å³/cell.

# PuIn2Ga

An optimized crystal structure of PuIn2Ga (GGA-PBE, the Alexandria database).

Lattice parameters (Å, degrees): 4.7009 4.7009 8.7127 90.00 90.00 90.00
With the nearest neighbours (Å) after each atom.
Element x y z (fractional)
Pu: 0.2500 0.2500 0.2147  4 Ga 3.00, 4 In 3.33
Pu: 0.7500 0.7500 0.7853  4 Ga 3.00, 4 In 3.33
In: 0.2500 0.2500 0.7741  4 Ga 3.07, 4 Pu 3.33, 4 In 3.35
In: 0.2500 0.7500 0.5000  8 In 3.32-3.35, 4 Pu 3.42
In: 0.7500 0.2500 0.5000  8 In 3.32-3.35, 4 Pu 3.42
In: 0.7500 0.7500 0.2259  4 Ga 3.07, 4 Pu 3.33, 4 In 3.35
Ga: 0.2500 0.7500 0.0000  4 Pu 3.00, 4 In 3.07, 4 Ga 3.32
Ga: 0.7500 0.2500 0.0000  4 Pu 3.00, 4 In 3.07, 4 Ga 3.32

Output
The space group is No. 129. As for the magnetic moment: 5.74 μB/f.u. The formation energy comes out at -0.16 eV per atom. The value obtained for the energy above the most stable polymorph in this dataset is 0.083 eV per atom. Its volume is 192.5 Å³/cell.

# PuIn2Ga

An optimized crystal structure of PuIn2Ga (GGA-PBE, the Alexandria database).

Lattice parameters (Å, degrees): 4.4947 4.4947 4.6669 90.00 90.00 90.00
With the nearest neighbours (Å) after each atom.
Element x y z (fractional)
Pu: 0.0000 0.0000 0.0000  4 Ga 3.18, 8 In 3.24
In: 0.0000 0.5000 0.5000  4 In 3.18, 4 Pu 3.24, 4 Ga 3.24
In: 0.5000 0.0000 0.5000  4 In 3.18, 4 Pu 3.24, 4 Ga 3.24
Ga: 0.5000 0.5000 0.0000  4 Pu 3.18, 8 In 3.24

Output
The space group is No. 123. As for the magnetic moment: 5.57 μB/f.u. The formation energy comes out at -0.24 eV per atom. The value obtained for the energy above the most stable polymorph in this dataset is 0.000 eV per atom. Its volume is 94.3 Å³/cell.

# PuIn2Ga

An optimized crystal structure of PuIn2Ga (GGA-PBE, the Alexandria database).

Lattice parameters (Å, degrees): 3.2785 3.2785 33.8149 90.00 90.00 120.00
With the nearest neighbours (Å) after each atom.
Element x y z (fractional)
Pu: 0.0000 0.0000 0.0000  2 In 3.21, 6 Pu 3.28
Pu: 0.3333 0.6667 0.6667  2 In 3.21, 6 Pu 3.28
Pu: 0.6667 0.3333 0.3333  2 In 3.21, 6 Pu 3.28
In: 0.0000 0.0000 0.0949  3 Ga 3.08, 1 Pu 3.21, 6 In 3.28
In: 0.0000 0.0000 0.9051  3 Ga 3.08, 1 Pu 3.21, 6 In 3.28
In: 0.3333 0.6667 0.5718  3 Ga 3.08, 1 Pu 3.21, 6 In 3.28
In: 0.3333 0.6667 0.7615  3 Ga 3.08, 1 Pu 3.21, 6 In 3.28
In: 0.6667 0.3333 0.2385  3 Ga 3.08, 1 Pu 3.21, 6 In 3.28
In: 0.6667 0.3333 0.4282  3 Ga 3.08, 1 Pu 3.21, 6 In 3.28
Ga: 0.0000 0.0000 0.5000  6 In 3.08, 6 Ga 3.28
Ga: 0.3333 0.6667 0.1667  6 In 3.08, 6 Ga 3.28
Ga: 0.6667 0.3333 0.8333  6 In 3.08, 6 Ga 3.28

Output
The space group is No. 166. As for the magnetic moment: 6.28 μB/f.u. The formation energy comes out at 0.21 eV per atom. The value obtained for the energy above the most stable polymorph in this dataset is 0.446 eV per atom. Its volume is 314.8 Å³/cell.

# Pu5In3Ga3

An optimized crystal structure of Pu5In3Ga3 (GGA-PBE, the Alexandria database).

Lattice parameters (Å, degrees): 10.1456 10.1456 3.1071 90.00 90.00 120.00
With the nearest neighbours (Å) after each atom.
Element x y z (fractional)
Pu: 0.0000 0.6609 0.0000  2 Ga 2.99, 2 Pu 3.11, 2 In 3.23
Pu: 0.3333 0.6667 0.0000  5 Pu 3.11-3.35
Pu: 0.3391 0.3391 0.0000  2 Ga 2.99, 2 Pu 3.11, 2 In 3.23
Pu: 0.6609 0.0000 0.0000  2 Ga 2.99, 2 Pu 3.11, 2 In 3.23
Pu: 0.6667 0.3333 0.0000  5 Pu 3.11-3.35
In: 0.0000 0.3817 0.5000  2 Ga 2.84, 2 In 3.11
In: 0.3817 0.0000 0.5000  2 Ga 2.84, 2 In 3.11
In: 0.6183 0.6183 0.5000  2 Ga 2.84, 2 In 3.11
Ga: 0.0000 0.1475 0.0000  2 Ga 2.59, 2 In 2.84
Ga: 0.1475 0.0000 0.0000  2 Ga 2.59, 2 In 2.84
Ga: 0.8525 0.8525 0.0000  2 Ga 2.59, 2 In 2.84

Output
The space group is No. 189. As for the magnetic moment: 30.73 μB/f.u. The formation energy comes out at 0.06 eV per atom. Its volume is 277.0 Å³/cell.

# Pu2InGa

An optimized crystal structure of Pu2InGa (GGA-PBE, the Alexandria database).

Lattice parameters (Å, degrees): 5.2178 5.2178 3.6898 90.00 90.00 90.00
With the nearest neighbours (Å) after each atom.
Element x y z (fractional)
Pu: 0.0000 0.5000 0.0000  4 In 3.20, 4 Ga 3.20
Pu: 0.5000 0.0000 0.0000  4 In 3.20, 4 Ga 3.20
In: 0.0000 0.0000 0.5000  8 Pu 3.20
Ga: 0.5000 0.5000 0.5000  8 Pu 3.20

Output
The space group is No. 123. As for the magnetic moment: 11.68 μB/f.u. The formation energy comes out at -0.13 eV per atom. The value obtained for the energy above the most stable polymorph in this dataset is 0.087 eV per atom. Its volume is 100.5 Å³/cell.

# Pu2InGa

An optimized crystal structure of Pu2InGa (GGA-PBE, the Alexandria database).

Lattice parameters (Å, degrees): 7.3746 7.3746 7.3746 90.00 90.00 90.00
With the nearest neighbours (Å) after each atom.
Element x y z (fractional)
Pu: 0.2500 0.2500 0.2500  4 In 3.19, 4 Ga 3.19
Pu: 0.2500 0.2500 0.7500  4 In 3.19, 4 Ga 3.19
Pu: 0.2500 0.7500 0.2500  4 In 3.19, 4 Ga 3.19
Pu: 0.2500 0.7500 0.7500  4 In 3.19, 4 Ga 3.19
Pu: 0.7500 0.2500 0.2500  4 In 3.19, 4 Ga 3.19
Pu: 0.7500 0.2500 0.7500  4 In 3.19, 4 Ga 3.19
Pu: 0.7500 0.7500 0.2500  4 In 3.19, 4 Ga 3.19
Pu: 0.7500 0.7500 0.7500  4 Ga 3.19, 4 In 3.19
In: 0.0000 0.0000 0.0000  8 Pu 3.19
In: 0.0000 0.5000 0.5000  8 Pu 3.19
In: 0.5000 0.0000 0.5000  8 Pu 3.19
In: 0.5000 0.5000 0.0000  8 Pu 3.19
Ga: 0.0000 0.0000 0.5000  8 Pu 3.19
Ga: 0.0000 0.5000 0.0000  8 Pu 3.19
Ga: 0.5000 0.0000 0.0000  8 Pu 3.19
Ga: 0.5000 0.5000 0.5000  8 Pu 3.19

Output
The space group is No. 225. As for the magnetic moment: 11.62 μB/f.u. The formation energy comes out at -0.13 eV per atom. The value obtained for the energy above the most stable polymorph in this dataset is 0.089 eV per atom. Its volume is 401.1 Å³/cell.

Among the records above, which one has the lowest magnetic moment? number 8